Record 1
VASP calculation (PBE) on Li2PrYTl4 after structural relaxation.

```
Li2PrYTl4
1.0
2.626 1.516 8.582
-2.626 1.516 8.582
0.000 -3.033 8.582
Li Pr Y Tl
2 1 1 4
Direct
0.249 0.249 0.249
0.751 0.751 0.751
0.000 0.000 0.000
0.500 0.500 0.500
0.127 0.127 0.127
0.377 0.377 0.377
0.623 0.623 0.623
0.873 0.873 0.873
```

M_tot	0.000	μB/f.u.
E_form	-329	meV/atom
mass density	8.59	g cm⁻³
symmetry	No. 166

=====

Record 2
VASP calculation (PBE) on CrReRu2 after structural relaxation.

```
CrReRu2
1.0
-1.436 2.186 4.464
1.436 -2.186 4.464
1.436 2.186 -4.464
Cr Re Ru
1 1 2
Direct
0.000 0.000 0.000
0.223 0.723 0.500
0.488 0.488 0.000
0.774 0.274 0.500
```

M_tot	1.017	μB/f.u.
E_form	246	meV/atom
mass density	13.05	g cm⁻³
symmetry	No. 44
energy above the most stable polymorph in this dataset	179	meV/atom

=====

Record 3
VASP calculation (PBE) on YTlFe after structural relaxation.

```
YTlFe
1.0
0.000 3.304 3.304
3.304 0.000 3.304
3.304 3.304 0.000
Y Tl Fe
1 1 1
Direct
0.000 0.000 0.000
0.500 0.500 0.500
0.750 0.750 0.750
```

M_tot	1.967	μB/f.u.
E_form	285	meV/atom
mass density	8.04	g cm⁻³
symmetry	No. 216

=====

Record 4
VASP calculation (PBE) on LuScFeRh after structural relaxation.

```
LuScFeRh
1.0
0.000 3.239 3.239
3.239 0.000 3.239
3.239 3.239 0.000
Lu Sc Fe Rh
1 1 1 1
Direct
0.000 0.000 0.000
0.500 0.500 0.500
0.750 0.750 0.750
0.250 0.250 0.250
```

M_tot	0.215	μB/f.u.
E_form	-460	meV/atom
mass density	9.25	g cm⁻³
symmetry	No. 216

=====

Record 5
VASP calculation (PBE) on PmBeGa2Ir2 after structural relaxation.

```
PmBeGa2Ir2
1.0
4.259 0.000 0.000
0.000 4.259 0.000
0.000 0.000 5.617
Pm Be Ga Ir
1 1 2 2
Direct
0.000 0.000 0.000
0.000 0.000 0.500
0.500 0.500 0.227
0.500 0.500 0.773
0.000 0.500 0.500
0.500 0.000 0.500
```

M_tot	0.000	μB/f.u.
E_form	-587	meV/atom
mass density	11.05	g cm⁻³
symmetry	No. 123

=====

Record 6
VASP calculation (PBE) on GaSnW2 after structural relaxation.

```
GaSnW2
1.0
-1.972 1.972 9.761
1.972 -1.972 9.761
1.972 1.972 -9.761
Ga Sn W
2 2 4
Direct
0.000 0.000 0.000
0.750 0.250 0.500
0.250 0.750 0.500
0.500 0.500 0.000
0.085 0.625 0.960
0.375 0.335 0.460
0.665 0.125 0.040
0.875 0.915 0.540
```

M_tot	0.000	μB/f.u.
E_form	671	meV/atom
mass density	12.17	g cm⁻³
symmetry	No. 122
energy above the most stable polymorph in this dataset	19	meV/atom

=====

Record 7
VASP calculation (PBE) on Hf4MnAl2 after structural relaxation.

```
Hf4MnAl2
1.0
-2.283 2.283 7.354
2.283 -2.283 7.354
2.283 2.283 -7.354
Hf Mn Al
4 1 2
Direct
0.000 0.500 0.500
0.175 0.175 0.000
0.500 0.000 0.500
0.825 0.825 0.000
0.000 0.000 0.000
0.366 0.366 0.000
0.634 0.634 0.000
```

M_tot	0.040	μB/f.u.
E_form	321	meV/atom
mass density	8.91	g cm⁻³
symmetry	No. 139

=====

Record 8
VASP calculation (PBE) on YLuGaCo after structural relaxation.

```
YLuGaCo
1.0
0.000 3.444 3.444
3.444 0.000 3.444
3.444 3.444 0.000
Y Lu Ga Co
1 1 1 1
Direct
0.000 0.000 0.000
0.500 0.500 0.500
0.250 0.250 0.250
0.750 0.750 0.750
```

M_tot	0.941	μB/f.u.
E_form	-348	meV/atom
mass density	7.98	g cm⁻³
symmetry	No. 216

=====

mass density of number 4 (LuScFeRh)? 9.25 g cm⁻³

=====

Number 8 is which compound? YLuGaCo

=====

What is the formula in the fourth record? LuScFeRh

=====

mass density of number 8 (YLuGaCo)? 7.98 g cm⁻³